No. 1
Material: SnMo2P2
Method: DFT, PBE-GGA
State: optimized geometry

a b c (Å): 3.5268 3.5268 6.9869
angles (deg): 75.38 75.38 90.00
Positions (direct):
P  0.7500  0.2500  0.5000
P  0.2500  0.7500  0.5000
Mo  0.3798  0.3798  0.2403
Mo  0.6202  0.6202  0.7597
Sn  0.0000  0.0000  0.0000

Calculated values
DOS at the Fermi energy = 2.60 states/eV per cell
Energy above the most stable polymorph in this dataset = 0.0 meV/atom

***

No. 2
Material: DyCoCuSn
Method: DFT, PBE-GGA
State: optimized geometry

a b c (Å): 4.6290 4.6290 4.6290
angles (deg): 60.00 60.00 60.00
Each line ends with the local moment (μB).
Positions (direct):
Cu  0.0000  0.0000  0.0000  0.04
Sn  0.2500  0.2500  0.2500  0.02
Dy  0.7500  0.7500  0.7500  -0.01
Co  0.5000  0.5000  0.5000  0.95

Calculated values
DOS at the Fermi energy = 3.51 states/eV per cell
VASP energy = -20.83 eV/f.u.

***

No. 3
Material: AgGe2Cl
Method: DFT, PBE-GGA
State: optimized geometry

a b c (Å): 4.8128 4.8128 4.8128
angles (deg): 60.00 60.00 60.00
Positions (direct):
Ge  0.2500  0.2500  0.2500
Ge  0.7500  0.7500  0.7500
Cl  0.0000  0.0000  0.0000
Ag  0.5000  0.5000  0.5000

Calculated values
DOS at the Fermi energy = 2.04 states/eV per cell
ΔE_f (raw) = 32.61 kJ/mol of atoms
Energy above the most stable polymorph in this dataset = 6.5 meV/atom

***

What is the formula in the third record? AgGe2Cl